Record 1
DyTm2P: relaxed, GGA-PBE.

ΔH_f (0 K): -1.934 eV/f.u.
V: 29.4 A^3/atom
electronic total energy: -0.192 Ha/atom
total magnetic moment: 3.1 μB per cell

a b c (Å): 3.6785 3.6785 30.1542
angles (deg): 90.00 90.00 120.00
Space group R-3m (No. 166, hexagonal axes)
Asymmetric unit:
Dy 0.0000 0.0000 0.0000 [3 per cell]
Tm 0.0000 0.0000 0.1131 [6 per cell]
P 0.0000 0.0000 0.5000 [3 per cell]

---

Record 2
Ac4CdAgN: relaxed, GGA-PBE.

V: 35.3 A^3/atom
electronic total energy: -0.166 Ha/atom
formation energy (no corrections): -0.4335 eV/atom
total magnetic moment: 0.0 μB per cell

a b c (Å): 7.336 7.673 9.211
angles (deg): 90.00 107.78 90.00
Space group P2_1/m (No. 11)
Asymmetric unit:
Ac 0.001 0.007 0.254 [4 per cell]
Ac 0.411 0.250 0.572 [2 per cell]
Ac 0.422 0.250 0.134 [2 per cell]
Cd 0.251 0.750 0.069 [2 per cell]
Ag 0.214 0.750 0.545 [2 per cell]
N 0.227 0.250 0.305 [2 per cell]

---

Record 3
CaMg2Hg: relaxed, GGA-PBE.

ΔH_f (0 K): -0.876 eV/f.u.
V: 26.1 A^3/atom
electronic total energy: -0.059 Ha/atom
total magnetic moment: 0.0 μB per cell

a b c (Å): 3.544 4.609 6.611
angles (deg): 90.00 105.21 90.00
Space group Pm (No. 6)
Asymmetric unit:
Ca 0.000 0.000 0.000 [1 per cell]
Mg 0.330 0.500 0.671 [1 per cell]
Mg 0.733 0.000 0.480 [1 per cell]
Hg 0.602 0.500 0.209 [1 per cell]

---

Question: The lowest electronic total energy belongs to which entry?
Answer: DyTm2P

---

Question: Among the records above, which one has the highest electronic total energy?
Answer: CaMg2Hg

---

Question: The lowest V belongs to which entry?
Answer: CaMg2Hg